Material: ScGePt2N
Method: DFT, PBE-GGA
State: relaxed

Computed properties:
Total magnetization ... 0.00 μB per atom
E_form (uncorrected) ... 0.2565 eV/atom
DOS at the Fermi energy ... 2.30 states/eV per cell
Space-group type ... P4/mmm (123)

Cell lengths 4.819, 4.819, 3.744 Å; angles 90.00, 90.00, 90.00 degrees
Fractional positions:
Sc (0.000, 0.000, 0.000)
Ge (0.500, 0.500, 0.500)
Pt (0.000, 0.500, 0.500)
Pt (0.500, 0.000, 0.500)
N (0.500, 0.500, 0.000)